DFT (PBE-GGA) results for a geometry-optimized Ti8GaAs2 structure.

Output
DFT total energy: -7.251 eV per atom

The structure in CIF format:
```
data_Ti8GaAs2
_chemical_formula_sum 'Ti16 Ga2 As4'
_space_group_name_H-M_alt 'C 1 2/m 1'
_space_group_IT_number 12
_space_group_name_Hall '-C 2y'
_cell_length_a 7.093
_cell_length_b 11.643
_cell_length_c 4.841
_cell_angle_alpha 90.00
_cell_angle_beta 110.63
_cell_angle_gamma 90.00
loop_
_atom_site_label
_atom_site_type_symbol
_atom_site_fract_x
_atom_site_fract_y
_atom_site_fract_z
Ti1 Ti 0.000 0.233 0.000
Ti2 Ti 0.093 0.500 0.808
Ti3 Ti 0.199 0.113 0.624
Ga1 Ga 0.000 0.000 0.000
As1 As 0.000 0.306 0.500
```


DFT (PBE-GGA) results for a geometry-optimized Ba2As2Br structure.

Output
DFT total energy: -4.059 eV per atom
Energy above the most stable polymorph in this dataset: 0.208 eV per atom
Formation energy from raw total energies: -1.0955 eV per atom

The structure in CIF format:
```
data_Ba2As2Br
_chemical_formula_sum 'Ba4 As4 Br2'
_space_group_name_H-M_alt 'I 4/m m m'
_space_group_IT_number 139
_space_group_name_Hall '-I 4 2'
_cell_length_a 6.143
_cell_length_b 6.143
_cell_length_c 9.714
_cell_angle_alpha 90.00
_cell_angle_beta 90.00
_cell_angle_gamma 90.00
loop_
_atom_site_label
_atom_site_type_symbol
_atom_site_fract_x
_atom_site_fract_y
_atom_site_fract_z
Ba1 Ba 0.000 0.500 0.250
As1 As 0.000 0.000 0.122
Br1 Br 0.000 0.000 0.500
```


DFT (PBE-GGA) results for a geometry-optimized Y3BiS structure.

Output
DFT total energy: -6.354 eV per atom
Energy above the most stable polymorph in this dataset: 0.000 eV per atom
Formation energy from raw total energies: -0.8734 eV per atom

The structure in CIF format:
```
data_Y3BiS
_chemical_formula_sum 'Y3 Bi1 S1'
_space_group_name_H-M_alt 'P m -3 m'
_space_group_IT_number 221
_space_group_name_Hall '-P 4 2 3'
_cell_length_a 5.208
_cell_length_b 5.208
_cell_length_c 5.208
_cell_angle_alpha 90.00
_cell_angle_beta 90.00
_cell_angle_gamma 90.00
loop_
_atom_site_label
_atom_site_type_symbol
_atom_site_fract_x
_atom_site_fract_y
_atom_site_fract_z
Y1 Y 0.000 0.000 0.500
Bi1 Bi 0.500 0.500 0.500
S1 S 0.000 0.000 0.000
```


DFT (PBE-GGA) results for a geometry-optimized LiCrNi3 structure.

Output
DFT total energy: -4.886 eV per atom
Energy above the most stable polymorph in this dataset: 0.000 eV per atom

The structure in CIF format:
```
data_LiCrNi3
_chemical_formula_sum 'Li1 Cr1 Ni3'
_space_group_name_H-M_alt 'P m -3 m'
_space_group_IT_number 221
_space_group_name_Hall '-P 4 2 3'
_cell_length_a 4.279
_cell_length_b 4.279
_cell_length_c 4.279
_cell_angle_alpha 90.00
_cell_angle_beta 90.00
_cell_angle_gamma 90.00
loop_
_atom_site_label
_atom_site_type_symbol
_atom_site_fract_x
_atom_site_fract_y
_atom_site_fract_z
Li1 Li 0.000 0.000 0.000
Cr1 Cr 0.500 0.500 0.500
Ni1 Ni 0.000 0.500 0.500
```